Entry 1:
Y3Mg2Ag2Pb4 (PBE, optimized geometry); space group = P-3m1, No. 164; total energy = -4.24 eV per atom
1.0
-4.635 -0.400 1.178
2.673 -3.940 -0.597
3.637 0.285 14.402
Y Pb Ag Mg
3 4 2 2
direct
0.000 0.000 0.000 Y
0.000 0.000 0.739 Y
0.000 0.000 0.261 Y
0.333 0.667 0.888 Pb
0.667 0.333 0.635 Pb
0.667 0.333 0.112 Pb
0.333 0.667 0.365 Pb
0.333 0.667 0.156 Ag
0.667 0.333 0.844 Ag
0.333 0.667 0.571 Mg
0.667 0.333 0.429 Mg

***

Entry 2:
Li3SiN2 (PBE, optimized geometry); space group = Ibam, No. 72; E_form (uncorrected) = -405 meV per atom
1.0
4.863 0.000 0.000
0.000 5.306 0.000
-2.431 -2.653 4.850
Li N Si
6 4 2
direct
0.752 0.002 0.503 Li
0.248 0.998 0.497 Li
0.500 0.750 0.000 Li
0.752 0.502 0.503 Li
0.500 0.250 0.000 Li
0.248 0.498 0.497 Li
0.122 0.876 0.752 N
0.370 0.624 0.248 N
0.630 0.376 0.752 N
0.878 0.124 0.248 N
0.000 0.000 0.000 Si
0.000 0.500 0.000 Si

***

Entry 3:
GdHfGa4 (PBE, optimized geometry); space group = F-43m, No. 216; total energy = -6.44 eV per atom
1.0
-0.943 -2.196 4.837
2.896 -4.244 1.647
3.606 0.572 3.972
Gd Hf Ga
1 1 4
direct
0.000 0.000 0.000 Gd
0.250 0.250 0.250 Hf
0.625 0.126 0.625 Ga
0.625 0.625 0.126 Ga
0.126 0.625 0.625 Ga
0.625 0.625 0.625 Ga

***

Copy entry 2 word for word.
Li3SiN2 (PBE, optimized geometry); space group = Ibam, No. 72; E_form (uncorrected) = -405 meV per atom
1.0
4.863 0.000 0.000
0.000 5.306 0.000
-2.431 -2.653 4.850
Li N Si
6 4 2
direct
0.752 0.002 0.503 Li
0.248 0.998 0.497 Li
0.500 0.750 0.000 Li
0.752 0.502 0.503 Li
0.500 0.250 0.000 Li
0.248 0.498 0.497 Li
0.122 0.876 0.752 N
0.370 0.624 0.248 N
0.630 0.376 0.752 N
0.878 0.124 0.248 N
0.000 0.000 0.000 Si
0.000 0.500 0.000 Si

***

Question: What is the formula in the second record?
Answer: Li3SiN2